RbNa2InSb PBE-GGA optimized geometry; spin magnetization = 0.92 μB per formula unit; calculated total energy = -2.04 eV/atom
1.0
5.916 0.000 0.000
0.000 5.916 0.000
0.000 0.000 7.045
Rb Na In Sb
1 2 1 1
Direct
0.000 0.000 0.000
0.000 0.500 0.500
0.500 0.000 0.500
0.500 0.500 0.000
0.000 0.000 0.500